1.
{
  "formula": "LiLaZn2Au2",
  "functional": "PBE",
  "state": "relaxed",
  "n_ef_per_ev_cell": 4.16,
  "sg": "P-3m1, No. 164",
  "total_energy_ev_per_atom": -3.22,
  "cell": [[4.552, 0.000, 0.000], [-2.276, 3.942, 0.000], [0.000, 0.000, 6.790]],
  "species": ["Li", "La", "Zn", "Zn", "Au", "Au"],
  "fractional_positions": [[0.000, 0.000, 0.000], [0.000, 0.000, 0.500], [0.333, 0.667, 0.818], [0.667, 0.333, 0.182], [0.333, 0.667, 0.218], [0.667, 0.333, 0.782]]
}

---

2.
{
  "formula": "InTeS2N",
  "functional": "PBE",
  "state": "relaxed",
  "n_ef_per_ev_cell": 8.27,
  "sg": "P4/mmm, No. 123",
  "e_form_raw_ev_per_atom": 1.0122,
  "total_energy_ev_per_atom": -3.48,
  "cell": [[5.155, 0.000, 0.000], [0.000, 5.155, 0.000], [0.000, 0.000, 4.170]],
  "species": ["In", "Te", "S", "S", "N"],
  "fractional_positions": [[0.000, 0.000, 0.000], [0.500, 0.500, 0.500], [0.000, 0.500, 0.000], [0.500, 0.000, 0.000], [0.000, 0.000, 0.500]]
}